# 1
MnIO4 | PBE with a Hubbard U | optimized geometry

## Properties
Spin magnetization in μB/f.u.: 4.000
VASP energy in eV/cell: -132.82
Mass density in Mg/m³: 5.018

Lattice parameters (Å, degrees): 4.6932 4.9639 13.9695 90.20 90.00 90.00
Last column: nearest neighbours and their distance in Å.
Fractional positions:
O 0.7110 0.9214 0.1961  1 I 1.88
O 0.2890 0.0786 0.8039  1 I 1.88
O 0.2268 0.0614 0.0899  1 Mn 1.90, 1 I 2.02
O 0.3022 0.5839 0.1994  1 I 1.90, 1 Mn 2.08
O 0.6978 0.4161 0.8006  1 I 1.90, 1 Mn 2.08
O 0.2110 0.0786 0.3039  1 I 1.88
O 0.2280 0.5452 0.9136  1 I 1.94, 1 Mn 2.01
O 0.7720 0.4548 0.0864  1 I 1.94, 1 Mn 2.01
O 0.7732 0.9386 0.9101  1 Mn 1.90, 1 I 2.02
O 0.7280 0.4548 0.5864  1 I 1.94, 1 Mn 2.01
O 0.2720 0.5452 0.4136  1 I 1.94, 1 Mn 2.01
O 0.2732 0.0614 0.5899  1 Mn 1.90, 1 I 2.02
O 0.1978 0.5839 0.6994  1 I 1.90, 1 Mn 2.08
O 0.7890 0.9214 0.6961  1 I 1.88
O 0.7268 0.9386 0.4101  1 Mn 1.90, 1 I 2.02
O 0.8022 0.4161 0.3006  1 I 1.90, 1 Mn 2.08
I 0.9957 0.7504 0.5976  4 O 1.88-2.02
I 0.0043 0.2496 0.4024  4 O 1.88-2.02
I 0.4957 0.2496 0.9024  4 O 1.88-2.02
I 0.5043 0.7504 0.0976  4 O 1.88-2.02
Mn 0.5054 0.7494 0.3177  3 O 1.90-2.08
Mn 0.4946 0.2506 0.6823  3 O 1.90-2.08
Mn 0.9946 0.7494 0.8177  3 O 1.90-2.08
Mn 0.0054 0.2506 0.1823  3 O 1.90-2.08



# 2
Mn3IO | PBE with a Hubbard U | optimized geometry

## Properties
Spin magnetization in μB/f.u.: 13.894
VASP energy in eV/cell: -28.79
Mass density in Mg/m³: 5.208

Lattice parameters (Å, degrees): 4.6122 4.6122 4.6122 90.00 90.00 90.00
Last column: nearest neighbours and their distance in Å.
Fractional positions:
Mn 0.5000 0.0000 0.0000  2 O 2.31
Mn 0.0000 0.0000 0.5000  2 O 2.31
Mn 0.0000 0.5000 0.0000  2 O 2.31
O 0.0000 0.0000 0.0000  6 Mn 2.31
I 0.5000 0.5000 0.5000  12 Mn 3.26



# 3
Mn2IO | PBE with a Hubbard U | optimized geometry

## Properties
Spin magnetization in μB/f.u.: 9.407
VASP energy in eV/cell: -20.44
Mass density in Mg/m³: 5.778

Lattice parameters (Å, degrees): 4.6834 4.6834 4.6834 60.00 60.00 60.00
Last column: nearest neighbours and their distance in Å.
Fractional positions:
Mn 0.7500 0.7500 0.7500  4 I 2.87, 4 O 2.87
Mn 0.2500 0.2500 0.2500  4 I 2.87, 4 O 2.87
O 0.0000 0.0000 0.0000  8 Mn 2.87
I 0.5000 0.5000 0.5000  8 Mn 2.87